A relaxed structure of Pr2YEr. Source: the Alexandria database, functional GGA-PBE.

a = 6.8654 Å, b = 6.4053 Å, c = 6.8849 Å
α = 90.00°, β = 64.71°, γ = 90.00°
Positions (direct):
Pr  0.8248  0.8179  0.2287
Pr  0.8255  0.6481  0.7303
Pr  0.0763  0.1482  0.4858
Pr  0.0772  0.3178  0.9872
Y  0.3301  0.8161  0.7338
Y  0.5720  0.3161  0.4821
Er  0.3294  0.6513  0.2329
Er  0.5725  0.1512  0.9831

The crystal system is monoclinic. Its formation energy is 0.02 eV per atom. The energy comes out at -5.127 eV/atom. As for the space group: P2_1 (4).

=====

A relaxed structure of KScMo2. Source: the Alexandria database, functional GGA-PBE.

a = 4.5085 Å, b = 4.5085 Å, c = 10.6461 Å
α = 77.78°, β = 77.78°, γ = 90.00°
Positions (direct):
Sc  0.0000  0.0000  0.0000
Sc  0.7500  0.2500  0.5000
Mo  0.7774  0.1250  0.2500
Mo  0.9726  0.6250  0.2500
Mo  0.3750  0.2226  0.7500
Mo  0.8750  0.0274  0.7500
K  0.5000  0.5000  0.0000
K  0.2500  0.7500  0.5000

The crystal system is tetragonal. Its formation energy is 1.49 eV per atom. The energy comes out at -5.786 eV/atom. As for the space group: I-42d (122).

=====

A relaxed structure of Y2TmCu3. Source: the Alexandria database, functional GGA-PBE.

a = 3.4530 Å, b = 3.4530 Å, c = 10.4211 Å
α = 90.00°, β = 90.00°, γ = 90.00°
Positions (direct):
Y  0.5000  0.5000  0.8313
Y  0.5000  0.5000  0.1687
Tm  0.5000  0.5000  0.5000
Cu  0.0000  0.0000  0.0000
Cu  0.0000  0.0000  0.6596
Cu  0.0000  0.0000  0.3404

The crystal system is tetragonal. Its formation energy is -0.26 eV per atom. The energy comes out at -5.210 eV/atom. As for the space group: P4/mmm (123).

=====

A relaxed structure of Sr4Bi2I. Source: the Alexandria database, functional GGA-PBE.

a = 8.8929 Å, b = 8.8929 Å, c = 8.8929 Å
α = 110.21°, β = 108.00°, γ = 110.21°
Positions (direct):
Sr  0.1356  0.8975  0.3907
Sr  0.6093  0.7449  0.5068
Sr  0.9881  0.6025  0.7432
Sr  0.2568  0.2449  0.8593
Sr  0.6144  0.7551  0.0119
Sr  0.7619  0.2551  0.8644
Sr  0.4932  0.1025  0.2381
Sr  0.1407  0.3975  0.3856
Bi  0.8750  0.1145  0.4895
Bi  0.5105  0.3855  0.6250
Bi  0.3750  0.8855  0.7605
Bi  0.2395  0.6145  0.1250
I  0.0000  0.0000  0.0000
I  0.7500  0.5000  0.2500

The crystal system is tetragonal. The energy comes out at -3.254 eV/atom. The uncorrected formation energy is -93 kJ/mol of atoms. As for the space group: I-42d (122).

=====

Computed values of density (unit: g cm⁻³) for the preceding records, in sequence: 6.5 4.4 7.2 5.5.